Computed, not measured: a geometry-optimized Ba2LiAg3Bi4 structure at the GGA-PBE level of DFT.

* energy: -3.47 eV per atom
* space-group type: P-4m2 (115)
* ΔE_f: -0.4847 eV/atom

```
data_Ba2LiAg3Bi4
_chemical_formula_sum 'Ba2 Li1 Ag3 Bi4'
_cell_length_a 4.9328
_cell_length_b 4.9328
_cell_length_c 12.3308
_cell_angle_alpha 90.00
_cell_angle_beta 90.00
_cell_angle_gamma 90.00
_space_group_name_H-M_alt 'P 1'
_space_group_IT_number 1
loop_
_space_group_symop_operation_xyz
'x,y,z'
loop_
_atom_site_label
_atom_site_fract_x
_atom_site_fract_y
_atom_site_fract_z
_atom_site_occupancy
Ba1 0.0000 0.5000 0.2398 1
Ba2 0.5000 0.0000 0.7602 1
Li1 0.5000 0.5000 0.0000 1
Ag1 0.0000 0.0000 0.0000 1
Ag2 0.0000 0.5000 0.6407 1
Ag3 0.5000 0.0000 0.3593 1
Bi1 0.0000 0.0000 0.5000 1
Bi2 0.0000 0.5000 0.8707 1
Bi3 0.5000 0.0000 0.1293 1
Bi4 0.5000 0.5000 0.5000 1
```


Computed, not measured: a geometry-optimized Li2TbZnPd4 structure at the GGA-PBE level of DFT.

* energy: -4.42 eV per atom
* space-group type: R-3m (166)
* ΔE_f: -0.6040 eV/atom

```
data_Li2TbZnPd4
_chemical_formula_sum 'Li2 Tb1 Zn1 Pd4'
_cell_length_a 7.9345
_cell_length_b 7.9345
_cell_length_c 7.9345
_cell_angle_alpha 32.52
_cell_angle_beta 32.52
_cell_angle_gamma 32.52
_space_group_name_H-M_alt 'P 1'
_space_group_IT_number 1
loop_
_space_group_symop_operation_xyz
'x,y,z'
loop_
_atom_site_label
_atom_site_fract_x
_atom_site_fract_y
_atom_site_fract_z
_atom_site_occupancy
Li1 0.2433 0.2433 0.2433 1
Li2 0.7567 0.7567 0.7567 1
Tb1 0.0000 0.0000 0.0000 1
Zn1 0.5000 0.5000 0.5000 1
Pd1 0.1286 0.1286 0.1286 1
Pd2 0.3867 0.3867 0.3867 1
Pd3 0.6133 0.6133 0.6133 1
Pd4 0.8714 0.8714 0.8714 1
```


Computed, not measured: a geometry-optimized VGe2S8 structure at the GGA-PBE level of DFT.

* energy: -4.81 eV per atom
* space-group type: C2/m (12)
* uncorrected formation energy: -141 meV/atom

```
data_VGe2S8
_chemical_formula_sum 'V1 Ge2 S8'
_cell_length_a 7.4312
_cell_length_b 7.4312
_cell_length_c 5.3222
_cell_angle_alpha 97.45
_cell_angle_beta 97.45
_cell_angle_gamma 71.59
_space_group_name_H-M_alt 'P 1'
_space_group_IT_number 1
loop_
_space_group_symop_operation_xyz
'x,y,z'
loop_
_atom_site_label
_atom_site_fract_x
_atom_site_fract_y
_atom_site_fract_z
_atom_site_occupancy
V1 0.0000 0.0000 0.0000 1
Ge1 0.1832 0.1832 0.5882 1
Ge2 0.8168 0.8168 0.4118 1
S1 0.1379 0.7529 0.3218 1
S2 0.1846 0.1846 0.1706 1
S3 0.2471 0.8621 0.6782 1
S4 0.3471 0.3471 0.7953 1
S5 0.6529 0.6529 0.2047 1
S6 0.7529 0.1379 0.3218 1
S7 0.8154 0.8154 0.8294 1
S8 0.8621 0.2471 0.6782 1
```


Computed, not measured: a geometry-optimized Nb5Re4Ru structure at the GGA-PBE level of DFT.

* energy: -11.21 eV per atom
* space-group type: P4/mmm (123)
* ΔE_f: -0.2674 eV/atom

```
data_Nb5Re4Ru
_chemical_formula_sum 'Nb5 Re4 Ru1'
_cell_length_a 3.2031
_cell_length_b 3.2031
_cell_length_c 15.9867
_cell_angle_alpha 90.00
_cell_angle_beta 90.00
_cell_angle_gamma 90.00
_space_group_name_H-M_alt 'P 1'
_space_group_IT_number 1
loop_
_space_group_symop_operation_xyz
'x,y,z'
loop_
_atom_site_label
_atom_site_fract_x
_atom_site_fract_y
_atom_site_fract_z
_atom_site_occupancy
Nb1 0.0000 0.0000 0.0000 1
Nb2 0.0000 0.0000 0.2002 1
Nb3 0.0000 0.0000 0.3990 1
Nb4 0.0000 0.0000 0.6010 1
Nb5 0.0000 0.0000 0.7998 1
Re1 0.5000 0.5000 0.1002 1
Re2 0.5000 0.5000 0.3017 1
Re3 0.5000 0.5000 0.6983 1
Re4 0.5000 0.5000 0.8998 1
Ru1 0.5000 0.5000 0.5000 1
```